Arrangement a

## FeRe2Mo (PBE-GGA)

Data for FeRe2Mo after structural relaxation.

Properties
Volume, Å³/atom: 14.415
Total magnetization, μB per formula unit: 2.473

Geometry as CIF:
```
data_FeRe2Mo
_cell_length_a 3.118
_cell_length_b 3.118
_cell_length_c 5.930
_cell_angle_alpha 90.00
_cell_angle_beta 90.00
_cell_angle_gamma 90.00
_space_group_name_H-M_alt 'P 4 m m'
_space_group_IT_number 99
loop_
_space_group_symop_operation_xyz
'x,y,z'
'-y,x,z'
'-x,-y,z'
'y,-x,z'
'-x,y,z'
'y,x,z'
'x,-y,z'
'-y,-x,z'
loop_
_atom_site_label
_atom_site_type_symbol
_atom_site_fract_x
_atom_site_fract_y
_atom_site_fract_z
_atom_site_occupancy
Fe1 Fe 0.000 0.000 0.000 1
Re1 Re 0.000 0.000 0.503 1
Re2 Re 0.500 0.500 0.768 1
Mo1 Mo 0.500 0.500 0.232 1
```

Arrangement b

## FeRe2Mo (PBE-GGA)

Data for FeRe2Mo after structural relaxation.

Properties
Volume, Å³/atom: 14.596
Total magnetization, μB per formula unit: 2.363

Geometry as CIF:
```
data_FeRe2Mo
_cell_length_a 5.351
_cell_length_b 8.771
_cell_length_c 2.656
_cell_angle_alpha 90.00
_cell_angle_beta 110.49
_cell_angle_gamma 90.00
_space_group_name_H-M_alt 'C 1 2/m 1'
_space_group_IT_number 12
loop_
_space_group_symop_operation_xyz
'x,y,z'
'-x,-y,-z'
'-x,y,-z'
'x,-y,z'
'x+1/2,y+1/2,z'
'-x+1/2,-y+1/2,-z'
'-x+1/2,y+1/2,-z'
'x+1/2,-y+1/2,z'
loop_
_atom_site_label
_atom_site_type_symbol
_atom_site_fract_x
_atom_site_fract_y
_atom_site_fract_z
_atom_site_occupancy
Fe1 Fe 0.000 0.000 0.000 1
Re1 Re 0.250 0.250 0.500 1
Mo1 Mo 0.000 0.500 0.000 1
```

Quick ranking, most stable first: arrangement b, arrangement a.

Arrangement a

## FeRe2Mo (PBE-GGA)

Data for FeRe2Mo after structural relaxation.

Properties
Volume, Å³/atom: 14.363
Total magnetization, μB per formula unit: 1.409

Geometry as CIF:
```
data_FeRe2Mo
_cell_length_a 3.873
_cell_length_b 3.873
_cell_length_c 7.659
_cell_angle_alpha 90.00
_cell_angle_beta 90.00
_cell_angle_gamma 90.00
_space_group_name_H-M_alt 'I 4/m m m'
_space_group_IT_number 139
_space_group_name_Hall '-I 4 2'
loop_
_atom_site_label
_atom_site_type_symbol
_atom_site_fract_x
_atom_site_fract_y
_atom_site_fract_z
_atom_site_occupancy
Fe1 Fe 0.000 0.000 0.000 1
Re1 Re 0.000 0.500 0.250 1
Mo1 Mo 0.000 0.000 0.500 1
```

Arrangement b

## FeRe2Mo (PBE-GGA)

Data for FeRe2Mo after structural relaxation.

Properties
Volume, Å³/atom: 14.420
Total magnetization, μB per formula unit: 1.249

Geometry as CIF:
```
data_FeRe2Mo
_cell_length_a 5.451
_cell_length_b 7.740
_cell_length_c 2.734
_cell_angle_alpha 90.00
_cell_angle_beta 90.00
_cell_angle_gamma 90.00
_space_group_name_H-M_alt 'C m m m'
_space_group_IT_number 65
_space_group_name_Hall '-C 2 2'
loop_
_atom_site_label
_atom_site_type_symbol
_atom_site_fract_x
_atom_site_fract_y
_atom_site_fract_z
_atom_site_occupancy
Fe1 Fe 0.000 0.000 0.000 1
Re1 Re 0.250 0.250 0.500 1
Mo1 Mo 0.000 0.500 0.000 1
```

Quick ranking, most stable first: arrangement a, arrangement b.